First-principles (PBE) data for LiPrRh after structural relaxation, as listed in the Alexandria database.

Geometry as CIF:
```
data_LiPrRh
_cell_length_a 4.4779
_cell_length_b 3.6810
_cell_length_c 8.7243
_cell_angle_alpha 90.00
_cell_angle_beta 90.00
_cell_angle_gamma 90.00
_space_group_name_H-M_alt 'P m m a'
_space_group_IT_number 51
loop_
_space_group_symop_operation_xyz
'x,y,z'
'-x,-y,-z'
'-x+1/2,-y,z'
'x+1/2,y,-z'
'x+1/2,-y,-z'
'-x+1/2,y,z'
'-x,y,-z'
'x,-y,z'
loop_
_atom_site_label
_atom_site_fract_x
_atom_site_fract_y
_atom_site_fract_z
Li1 0.2500 0.0000 0.0990
Pr1 0.2500 0.5000 0.6757
Rh1 0.2500 0.0000 0.3925
```

Summary:
Fermi-level density of states   0.28 states/eV/atom
E_form   -0.35 eV per atom
ρ   5791 kg/m³
VASP energy   -5.03 eV/atom
Calculated volume   143.8 Å³ per cell